Compound: K2NaZr
Source: the Alexandria database
Functional: PBE-GGA
Structure: optimized geometry

Geometry as CIF:
```
data_K2NaZr
_symmetry_space_group_name_H-M 'F m -3 m'
_symmetry_Int_Tables_number 225
_symmetry_space_group_name_Hall '-F 4 2 3'
_cell_length_a 8.9546
_cell_length_b 8.9546
_cell_length_c 8.9546
_cell_angle_alpha 90.00
_cell_angle_beta 90.00
_cell_angle_gamma 90.00
loop_
_atom_site_label
_atom_site_type_symbol
_atom_site_fract_x
_atom_site_fract_y
_atom_site_fract_z
K1 K 0.2500 0.2500 0.2500
Na1 Na 0.0000 0.0000 0.0000
Zr1 Zr 0.0000 0.0000 0.5000
```

Computed properties:
- distance to the lowest polymorph of the same formula (eV/atom) = 0.0000
- total magnetization (μB/f.u.) = 3.6
- density of states at the Fermi level (states/eV per atom) = 2.4175
- E (eV/f.u.) = -8.15
- volume (Å³/f.u.) = 180